(1)
VASP calculation (PBE) on crystalline LiNpF4 at its relaxed geometry.

a = 4.014 Å, b = 4.014 Å, c = 5.395 Å
α = 81.38°, β = 81.38°, γ = 89.38°
Element x y z (fractional)
1 F 0.059 0.588 0.746
2 F 0.411 0.940 0.250
3 F 0.944 0.407 0.250
4 F 0.592 0.055 0.746
5 Np 0.501 0.497 0.998
6 Li 0.000 0.996 0.497

* formation energy from raw total energies: -3243 meV per atom

(2)
VASP calculation (PBE) on crystalline La2RhPbO5 at its relaxed geometry.

a = 5.859 Å, b = 6.937 Å, c = 6.937 Å
α = 90.00°, β = 90.00°, γ = 90.00°
Element x y z (fractional)
1 La 0.500 0.675 0.175
2 La 0.500 0.175 0.325
3 La 0.500 0.325 0.825
4 La 0.500 0.825 0.675
5 O 0.247 0.859 0.359
6 O 0.753 0.141 0.641
7 O 0.500 0.500 0.500
8 O 0.753 0.859 0.359
9 O 0.500 0.000 0.000
10 O 0.753 0.359 0.141
11 O 0.247 0.141 0.641
12 O 0.753 0.641 0.859
13 O 0.247 0.359 0.141
14 O 0.247 0.641 0.859
15 Rh 0.000 0.000 0.500
16 Rh 0.000 0.500 0.000
17 Pb 0.000 0.000 0.000
18 Pb 0.000 0.500 0.500

* formation energy from raw total energies: -2148 meV per atom